VASP calculation (PBE) on a relaxed LaYTl2 crystal.

Output
- M_tot: 6.1 μB per cell
- Uncorrected energy: -3.97 eV per atom

```
data_LaYTl2
_chemical_formula_sum 'La4 Y4 Tl8'
_space_group_name_H-M_alt 'F -4 3 m'
_space_group_IT_number 216
_space_group_name_Hall 'F -4 2 3'
_cell_length_a 7.8781
_cell_length_b 7.8781
_cell_length_c 7.8781
_cell_angle_alpha 90.00
_cell_angle_beta 90.00
_cell_angle_gamma 90.00
loop_
_atom_site_label
_atom_site_fract_x
_atom_site_fract_y
_atom_site_fract_z
La1 0.0000 0.0000 0.0000
Y1 0.2500 0.2500 0.2500
Tl1 0.0000 0.0000 0.5000
Tl2 0.2500 0.2500 0.7500
```